1.
A relaxed structure of K2YRe, computed with GGA-PBE.

a b c (Å): 3.0245 5.9129 6.3716
angles (deg): 90.00 90.00 90.00
Space group Pmmm (No. 47)
One atom of each set of equivalent atoms:
K 0.0000 0.2363 0.0000
Y 0.5000 0.5000 0.5000
Re 0.5000 0.0000 0.5000

Output
Offset from the most stable computed form (meV/atom): 561
ΔH_f (0 K) (eV/atom): 1.3433

***

2.
A relaxed structure of CaHg3Au, computed with GGA-PBE.

a b c (Å): 10.5085 5.0686 9.3662
angles (deg): 90.00 90.00 90.00
Space group Pnma (No. 62)
One atom of each set of equivalent atoms:
Ca 0.2392 0.2500 0.0212
Hg 0.0570 0.7500 0.1536
Hg 0.0719 0.2500 0.4101
Hg 0.1202 0.7500 0.8386
Au 0.1798 0.2500 0.6975

Output
Offset from the most stable computed form (meV/atom): 0
ΔH_f (0 K) (eV/atom): -0.3415

***

3.
A relaxed structure of Y2SiSnHg, computed with GGA-PBE.

a b c (Å): 5.7133 5.7133 4.6288
angles (deg): 90.00 90.00 90.00
Space group P4/mmm (No. 123)
One atom of each set of equivalent atoms:
Y 0.0000 0.5000 0.0000
Si 0.0000 0.0000 0.5000
Sn 0.5000 0.5000 0.5000
Hg 0.0000 0.0000 0.0000

Output
E_form (uncorrected) (eV/atom): 0.25